A plane-wave DFT calculation with PBE was carried out for a relaxed CsHoHf crystal.

Cell: 5.6859 5.6859 5.6859 Å, 60.00 60.00 60.00°
Element x y z (fractional)
Ho (0.7500, 0.7500, 0.7500)
Hf (0.0000, 0.0000, 0.0000)
Cs (0.2500, 0.2500, 0.2500)

Values from the calculation:
magnetic moment: 4.23 μB per formula unit
energy relative to the lowest polymorph listed for this composition: 0.0 meV per atom

---

A plane-wave DFT calculation with PBE was carried out for a relaxed LiHfAgSe2S crystal.

Cell: 7.3026 7.3026 10.2656 Å, 90.00 90.00 149.49°
Element x y z (fractional)
Se (0.6361, 0.3639, 0.0115)
Hf (0.0000, 0.0000, 0.5000)
Se (0.3639, 0.6361, 0.9885)
Hf (0.0000, 0.0000, 0.0000)
Se (0.3639, 0.6361, 0.5115)
S (0.0436, 0.9564, 0.7500)
Se (0.6361, 0.3639, 0.4885)
S (0.9564, 0.0436, 0.2500)
Li (0.3498, 0.6502, 0.2500)
Ag (0.4121, 0.5879, 0.7500)
Ag (0.5879, 0.4121, 0.2500)
Li (0.6502, 0.3498, 0.7500)

Values from the calculation:
magnetic moment: 0.00 μB per formula unit
VASP energy: -63.104 eV per cell

---

A plane-wave DFT calculation with PBE was carried out for a relaxed NdYMg crystal.

Cell: 5.3037 5.3037 5.3037 Å, 60.00 60.00 60.00°
Element x y z (fractional)
Mg (0.0000, 0.0000, 0.0000)
Nd (0.2500, 0.2500, 0.2500)
Y (0.7500, 0.7500, 0.7500)

Values from the calculation:
magnetic moment: 0.53 μB per formula unit
energy relative to the lowest polymorph listed for this composition: 0.0 meV per atom

---

A plane-wave DFT calculation with PBE was carried out for a relaxed YZn2HPt crystal.

Cell: 5.3322 5.3322 5.3322 Å, 129.98 129.98 73.45°
Element x y z (fractional)
Zn (0.6105, 0.1105, 0.5000)
Y (0.2500, 0.7500, 0.5000)
Zn (0.8895, 0.3895, 0.5000)
H (0.5000, 0.5000, 0.0000)
Pt (0.0000, 0.0000, 0.0000)

Values from the calculation:
magnetic moment: 0.01 μB per formula unit
VASP energy: -19.473 eV per cell

---

Number 1: volume 130.0 Å³/cell. Number 2: volume 277.9 Å³/cell. Number 3: volume 105.5 Å³/cell. Number 4: volume 86.9 Å³/cell.